This record from the Alexandria database describes a geometry-optimized YZn2Re structure. The functional is GGA-PBEsol.

Cell and atoms, written as POSCAR:
```
YZn2Re
1.0
2.896 0.000 0.000
0.000 2.896 0.000
0.000 0.000 7.907
Y Zn Re
1 2 1
Cartesian
0.000 0.000 0.000
1.448 1.448 2.214
1.448 1.448 5.693
0.000 0.000 3.954
```

Calculated values
ΔE to the lowest computed polymorph   133 meV per atom
DOS(E_F)   3.7 states/eV per cell

This record from the Alexandria database describes a geometry-optimized YZn2Re structure. The functional is GGA-PBEsol.

Cell and atoms, written as POSCAR:
```
YZn2Re
1.0
3.375 0.000 0.000
0.000 3.375 0.000
0.000 0.000 5.927
Y Zn Re
1 2 1
Cartesian
0.000 0.000 0.000
1.687 1.687 1.749
1.687 1.687 4.178
0.000 0.000 2.964
```

Calculated values
ΔE to the lowest computed polymorph   0 meV per atom
DOS(E_F)   1.7 states/eV per cell

Results for formation energy from the elements: 219, 86 (in meV/atom, following the order of the records).